1.
Density functional theory data (PBE-GGA) for Na2Ge2S5 after structural relaxation.

Cell and atoms, written as CIF:
```
data_Na2Ge2S5
_cell_length_a 12.9922
_cell_length_b 5.0525
_cell_length_c 6.7421
_cell_angle_alpha 90.00
_cell_angle_beta 101.73
_cell_angle_gamma 90.00
_space_group_name_H-M_alt 'C 1 2/m 1'
_space_group_IT_number 12
loop_
_space_group_symop_operation_xyz
'x,y,z'
'-x,-y,-z'
'-x,y,-z'
'x,-y,z'
'x+1/2,y+1/2,z'
'-x+1/2,-y+1/2,-z'
'-x+1/2,y+1/2,-z'
'x+1/2,-y+1/2,z'
loop_
_atom_site_label
_atom_site_fract_x
_atom_site_fract_y
_atom_site_fract_z
_atom_site_occupancy
Na1 0.1306 0.0000 0.3562 1
Ge1 0.1544 0.5000 0.8690 1
S1 0.0000 0.5000 0.0000 1
S2 0.1371 0.5000 0.5442 1
S3 0.1782 0.0000 0.9460 1
```

Output
Fermi-level density of states   0.251 states/eV/atom
Formation energy from raw total energies   -0.429 eV/atom
E above lowest polymorph   2.281 eV per formula unit



2.
Density functional theory data (PBE-GGA) for Tl3In2Br4 after structural relaxation.

Cell and atoms, written as CIF:
```
data_Tl3In2Br4
_cell_length_a 15.3099
_cell_length_b 13.4517
_cell_length_c 6.6198
_cell_angle_alpha 90.00
_cell_angle_beta 92.09
_cell_angle_gamma 90.00
_space_group_name_H-M_alt 'C 1 2/c 1'
_space_group_IT_number 15
loop_
_space_group_symop_operation_xyz
'x,y,z'
'-x,-y,-z'
'-x,y,-z+1/2'
'x,-y,z+1/2'
'x+1/2,y+1/2,z'
'-x+1/2,-y+1/2,-z'
'-x+1/2,y+1/2,-z+1/2'
'x+1/2,-y+1/2,z+1/2'
loop_
_atom_site_label
_atom_site_fract_x
_atom_site_fract_y
_atom_site_fract_z
_atom_site_occupancy
Tl1 0.0000 0.0510 0.2500 1
Tl2 0.1286 0.3816 0.5215 1
In1 0.1687 0.1706 0.0258 1
Br1 0.0829 0.3708 0.0175 1
Br2 0.1503 0.1407 0.5819 1
```

Output
Fermi-level density of states   0.247 states/eV/atom
Formation energy from raw total energies   -0.601 eV/atom



3.
Density functional theory data (PBE-GGA) for Nd6MgCd3 after structural relaxation.

Cell and atoms, written as CIF:
```
data_Nd6MgCd3
_cell_length_a 9.4627
_cell_length_b 5.5046
_cell_length_c 12.1496
_cell_angle_alpha 90.00
_cell_angle_beta 109.43
_cell_angle_gamma 90.00
_space_group_name_H-M_alt 'P 1 21/m 1'
_space_group_IT_number 11
loop_
_space_group_symop_operation_xyz
'x,y,z'
'-x,-y,-z'
'-x,y+1/2,-z'
'x,-y+1/2,z'
loop_
_atom_site_label
_atom_site_fract_x
_atom_site_fract_y
_atom_site_fract_z
_atom_site_occupancy
Nd1 0.0385 0.2500 0.4136 1
Nd2 0.1576 0.7500 0.1772 1
Nd3 0.2375 0.2500 0.0017 1
Nd4 0.3439 0.7500 0.7952 1
Nd5 0.3633 0.2500 0.3441 1
Nd6 0.4156 0.2500 0.6285 1
Mg1 0.4575 0.7500 0.0816 1
Cd1 0.0432 0.7500 0.8768 1
Cd2 0.1210 0.2500 0.7181 1
Cd3 0.2690 0.7500 0.4769 1
```

Output
Fermi-level density of states   1.096 states/eV/atom
Energy of formation from the pure elements   -0.179 eV per atom



4.
Density functional theory data (PBE-GGA) for BaPr2Tl after structural relaxation.

Cell and atoms, written as CIF:
```
data_BaPr2Tl
_cell_length_a 5.2294
_cell_length_b 5.2294
_cell_length_c 5.1503
_cell_angle_alpha 90.00
_cell_angle_beta 90.00
_cell_angle_gamma 90.00
_space_group_name_H-M_alt 'P 4/m m m'
_space_group_IT_number 123
_space_group_name_Hall '-P 4 2'
loop_
_atom_site_label
_atom_site_fract_x
_atom_site_fract_y
_atom_site_fract_z
_atom_site_occupancy
Ba1 0.0000 0.0000 0.0000 1
Pr1 0.0000 0.5000 0.5000 1
Tl1 0.5000 0.5000 0.0000 1
```

Output
Fermi-level density of states   0.954 states/eV/atom
Energy of formation from the pure elements   -0.062 eV per atom
E above lowest polymorph   0.046 eV per formula unit



5.
Density functional theory data (PBE-GGA) for Si2BrCl after structural relaxation.

Cell and atoms, written as CIF:
```
data_Si2BrCl
_cell_length_a 7.1370
_cell_length_b 3.4892
_cell_length_c 8.3255
_cell_angle_alpha 90.00
_cell_angle_beta 92.72
_cell_angle_gamma 90.00
_space_group_name_H-M_alt 'C 1 m 1'
_space_group_IT_number 8
loop_
_space_group_symop_operation_xyz
'x,y,z'
'x,-y,z'
'x+1/2,y+1/2,z'
'x+1/2,-y+1/2,z'
loop_
_atom_site_label
_atom_site_fract_x
_atom_site_fract_y
_atom_site_fract_z
_atom_site_occupancy
Si1 0.0000 0.0000 0.0000 1
Si2 0.1840 0.5000 0.8838 1
Br1 0.2174 0.0000 0.6596 1
Cl1 0.4639 0.0000 0.2046 1
```

Output
Fermi-level density of states   0.224 states/eV/atom
Formation energy from raw total energies   -0.207 eV/atom
E above lowest polymorph   0.611 eV per formula unit



6.
Density functional theory data (PBE-GGA) for ErAg2C2O6 after structural relaxation.

Cell and atoms, written as CIF:
```
data_ErAg2C2O6
_cell_length_a 8.9780
_cell_length_b 5.4653
_cell_length_c 7.8504
_cell_angle_alpha 90.00
_cell_angle_beta 120.18
_cell_angle_gamma 90.00
_space_group_name_H-M_alt 'C 1 2/m 1'
_space_group_IT_number 12
loop_
_space_group_symop_operation_xyz
'x,y,z'
'-x,-y,-z'
'-x,y,-z'
'x,-y,z'
'x+1/2,y+1/2,z'
'-x+1/2,-y+1/2,-z'
'-x+1/2,y+1/2,-z'
'x+1/2,-y+1/2,z'
loop_
_atom_site_label
_atom_site_fract_x
_atom_site_fract_y
_atom_site_fract_z
_atom_site_occupancy
Er1 0.0000 0.0000 0.0000 1
Ag1 0.1761 0.0000 0.5892 1
C1 0.0624 0.5000 0.8139 1
O1 0.0210 0.2958 0.2099 1
O2 0.2184 0.5000 0.8520 1
```

Output
Fermi-level density of states   0.142 states/eV/atom
Formation energy from raw total energies   -1.461 eV/atom



7.
Density functional theory data (PBE-GGA) for Ho3Ga2BRu3 after structural relaxation.

Cell and atoms, written as CIF:
```
data_Ho3Ga2BRu3
_cell_length_a 7.2191
_cell_length_b 7.2191
_cell_length_c 3.4586
_cell_angle_alpha 90.00
_cell_angle_beta 90.00
_cell_angle_gamma 120.00
_space_group_name_H-M_alt 'P -6 2 m'
_space_group_IT_number 189
_space_group_name_Hall 'P -6 -2'
loop_
_atom_site_label
_atom_site_fract_x
_atom_site_fract_y
_atom_site_fract_z
_atom_site_occupancy
Ho1 0.0000 0.3646 0.0000 1
Ga1 0.3333 0.6667 0.5000 1
B1 0.0000 0.0000 0.0000 1
Ru1 0.0000 0.7712 0.5000 1
```

Output
Fermi-level density of states   0.579 states/eV/atom
Energy of formation from the pure elements   -0.485 eV per atom



8.
Density functional theory data (PBE-GGA) for AcPrYPu after structural relaxation.

Cell and atoms, written as CIF:
```
data_AcPrYPu
_cell_length_a 8.2890
_cell_length_b 8.2890
_cell_length_c 8.2890
_cell_angle_alpha 90.00
_cell_angle_beta 90.00
_cell_angle_gamma 90.00
_space_group_name_H-M_alt 'F -4 3 m'
_space_group_IT_number 216
_space_group_name_Hall 'F -4 2 3'
loop_
_atom_site_label
_atom_site_fract_x
_atom_site_fract_y
_atom_site_fract_z
_atom_site_occupancy
Ac1 0.0000 0.0000 0.0000 1
Pr1 0.2500 0.2500 0.7500 1
Y1 0.2500 0.2500 0.2500 1
Pu1 0.0000 0.0000 0.5000 1
```

Output
Fermi-level density of states   3.878 states/eV/atom
Energy of formation from the pure elements   0.269 eV per atom



9.
Density functional theory data (PBE-GGA) for CuBiBr2 after structural relaxation.

Cell and atoms, written as CIF:
```
data_CuBiBr2
_cell_length_a 7.3370
_cell_length_b 7.3370
_cell_length_c 7.3370
_cell_angle_alpha 90.00
_cell_angle_beta 90.00
_cell_angle_gamma 90.00
_space_group_name_H-M_alt 'F m -3 m'
_space_group_IT_number 225
_space_group_name_Hall '-F 4 2 3'
loop_
_atom_site_label
_atom_site_fract_x
_atom_site_fract_y
_atom_site_fract_z
_atom_site_occupancy
Cu1 0.0000 0.0000 0.0000 1
Bi1 0.0000 0.0000 0.5000 1
Br1 0.2500 0.2500 0.2500 1
```

Output
Fermi-level density of states   0.661 states/eV/atom
Formation energy from raw total energies   0.296 eV/atom
E above lowest polymorph   2.098 eV per formula unit



10.
Density functional theory data (PBE-GGA) for CaRhBr after structural relaxation.

Cell and atoms, written as CIF:
```
data_CaRhBr
_cell_length_a 3.4798
_cell_length_b 3.4798
_cell_length_c 10.6157
_cell_angle_alpha 90.00
_cell_angle_beta 90.00
_cell_angle_gamma 90.00
_space_group_name_H-M_alt 'I 4 m m'
_space_group_IT_number 107
_space_group_name_Hall 'I 4 -2'
loop_
_atom_site_label
_atom_site_fract_x
_atom_site_fract_y
_atom_site_fract_z
_atom_site_occupancy
Ca1 0.0000 0.0000 0.0000 1
Rh1 0.0000 0.0000 0.3455 1
Br1 0.0000 0.0000 0.6699 1
```

Output
Fermi-level density of states   1.253 states/eV/atom
Formation energy from raw total energies   -0.332 eV/atom
E above lowest polymorph   2.034 eV per formula unit



11.
Density functional theory data (PBE-GGA) for KScNF2 after structural relaxation.

Cell and atoms, written as CIF:
```
data_KScNF2
_cell_length_a 4.2664
_cell_length_b 4.2664
_cell_length_c 4.2257
_cell_angle_alpha 90.00
_cell_angle_beta 90.00
_cell_angle_gamma 90.00
_space_group_name_H-M_alt 'P 4/m m m'
_space_group_IT_number 123
_space_group_name_Hall '-P 4 2'
loop_
_atom_site_label
_atom_site_fract_x
_atom_site_fract_y
_atom_site_fract_z
_atom_site_occupancy
K1 0.0000 0.0000 0.0000 1
Sc1 0.5000 0.5000 0.5000 1
N1 0.5000 0.5000 0.0000 1
F1 0.0000 0.5000 0.5000 1
```

Output
Fermi-level density of states   0.598 states/eV/atom
Formation energy from raw total energies   -2.170 eV/atom
E above lowest polymorph   0.000 eV per formula unit



12.
Density functional theory data (PBE-GGA) for Mg6Cd3Pb after structural relaxation.

Cell and atoms, written as CIF:
```
data_Mg6Cd3Pb
_cell_length_a 8.4815
_cell_length_b 5.1768
_cell_length_c 11.1198
_cell_angle_alpha 90.00
_cell_angle_beta 111.26
_cell_angle_gamma 90.00
_space_group_name_H-M_alt 'P 1 21/m 1'
_space_group_IT_number 11
loop_
_space_group_symop_operation_xyz
'x,y,z'
'-x,-y,-z'
'-x,y+1/2,-z'
'x,-y+1/2,z'
loop_
_atom_site_label
_atom_site_fract_x
_atom_site_fract_y
_atom_site_fract_z
_atom_site_occupancy
Mg1 0.0139 0.2500 0.1713 1
Mg2 0.0160 0.2500 0.6757 1
Mg3 0.1950 0.7500 0.1206 1
Mg4 0.2019 0.2500 0.4795 1
Mg5 0.3908 0.7500 0.9319 1
Mg6 0.4190 0.2500 0.2638 1
Cd1 0.1853 0.7500 0.6387 1
Cd2 0.1965 0.2500 0.9705 1
Cd3 0.3987 0.2500 0.7801 1
Pb1 0.3721 0.7500 0.4161 1
```

Output
Fermi-level density of states   0.398 states/eV/atom
Energy of formation from the pure elements   -0.066 eV per atom
E above lowest polymorph   0.000 eV per formula unit